1.
Computed, not measured: TbPmPr3Y after structural relaxation at the PBE level of DFT.

Values from the calculation:
Calculated density, Mg/m³: 6.47
Space-group type: C2/m, No. 12
VASP energy, eV per atom: -4.8578

Cell: 10.8630 10.8630 6.8063 Å, 91.38 91.38 31.43°
Fractional positions:
Tb1 0.1402 0.1402 0.4843
Tb2 0.8598 0.8598 0.5157
Pm1 0.1488 0.1488 0.0300
Pm2 0.8512 0.8512 0.9700
Pr1 0.0176 0.0176 0.7550
Pr2 0.2796 0.2796 0.7220
Pr3 0.3406 0.3406 0.2341
Pr4 0.6594 0.6594 0.7659
Pr5 0.7204 0.7204 0.2780
Pr6 0.9824 0.9824 0.2450
Y1 0.4406 0.4406 0.7419
Y2 0.5594 0.5594 0.2581

2.
Computed, not measured: RbMn2ZnSn after structural relaxation at the PBE level of DFT.

Values from the calculation:
Calculated density, Mg/m³: 4.44
Space-group type: P4/mmm, No. 123
VASP energy, eV per atom: -4.1979

Cell: 5.1608 5.1608 5.3318 Å, 90.00 90.00 90.00°
Fractional positions:
Rb1 0.0000 0.0000 0.0000
Mn1 0.0000 0.5000 0.5000
Mn2 0.5000 0.0000 0.5000
Zn1 0.5000 0.5000 0.5000
Sn1 0.5000 0.5000 0.0000

Q: VASP energy of number 2 (RbMn2ZnSn)?
A: -4.1979 eV per atom

Q: Among the records above, which one has the lowest calculated density?
A: RbMn2ZnSn

Q: What is the formula in the second record?
A: RbMn2ZnSn